Here is a relaxed Ca2Cd8Pb crystal from the Alexandria database. Energies are from PBE.

a b c (Å): 5.5127 6.4431 9.0931
angles (deg): 110.71 107.60 90.11
With the nearest neighbours (Å) after each atom.
Element x y z (fractional)
Cd1 0.7015 0.2015 0.4030  6 Cd 3.21-3.33, 4 Ca 3.23-3.29, 1 Pb 3.24
Ca1 0.6870 0.6870 0.3739  12 Cd 3.23-3.38
Cd2 0.1316 0.9014 0.2621  4 Cd 2.96-3.21, 1 Ca 3.28
Cd3 0.1305 0.3607 0.2621  4 Cd 2.96-3.21, 1 Ca 3.28
Ca2 0.3130 0.3130 0.6261  12 Cd 3.23-3.38
Cd4 0.8684 0.0986 0.7379  4 Cd 2.96-3.21, 1 Ca 3.28
Pb1 0.5000 0.0000 0.0000  6 Cd 3.24-3.52
Cd5 0.2985 0.7985 0.5970  6 Cd 3.21-3.33, 4 Ca 3.23-3.29, 1 Pb 3.24
Cd6 0.2518 0.5032 0.0000  4 Cd 2.74-3.06
Cd7 0.8695 0.6393 0.7379  4 Cd 2.96-3.21, 1 Ca 3.28
Cd8 0.7482 0.4968 0.0000  4 Cd 2.74-3.06

- VASP energy (eV per cell) = -16.67

Here is a relaxed Y4Er5Cd crystal from the Alexandria database. Energies are from PBE.

a b c (Å): 5.6883 7.9950 7.9962
angles (deg): 82.74 69.18 69.17
With the nearest neighbours (Å) after each atom.
Element x y z (fractional)
Y1 0.4613 0.3192 0.6808  5 Er 3.34-3.70, 1 Cd 3.73
Y2 0.7804 0.6807 0.6808  5 Er 3.34-3.70, 1 Cd 3.73
Y3 0.4613 0.6808 0.3191  5 Er 3.34-3.70, 1 Cd 3.73
Er1 0.1393 0.6314 0.0000  1 Cd 3.04, 1 Er 3.22, 2 Y 3.34
Er2 0.7706 0.3687 0.0000  1 Cd 3.04, 1 Er 3.22, 2 Y 3.34
Cd1 0.1819 0.0001 0.0003  6 Er 2.74-3.04
Er3 0.7705 0.0000 0.3687  1 Cd 3.04, 1 Er 3.22, 2 Y 3.34
Er4 0.1393 0.0000 0.6314  1 Cd 3.04, 1 Er 3.22, 2 Y 3.34
Y4 0.1423 0.3192 0.3191  5 Er 3.34-3.70, 1 Cd 3.73
Er5 0.6634 0.9999 0.9998  2 Cd 2.74-2.95

- VASP energy (eV per cell) = -48.30

Here is a relaxed BaVCu2Bi crystal from the Alexandria database. Energies are from PBE.

a b c (Å): 5.0255 5.1933 5.0255
angles (deg): 90.00 90.00 90.00
With the nearest neighbours (Å) after each atom.
Element x y z (fractional)
Cu1 0.0000 0.0000 0.5000  2 V 2.51
Cu2 0.5000 0.0000 0.0000  2 V 2.51
Bi1 0.0000 0.5000 0.0000  2 V 2.60
V1 0.0000 0.0000 0.0000  4 Cu 2.51, 2 Bi 2.60
Ba1 0.5000 0.5000 0.5000  4 Bi 3.55, 8 Cu 3.61

- VASP energy (eV per cell) = -21.84

Here is a relaxed AuNClO2 crystal from the Alexandria database. Energies are from PBE.

a b c (Å): 4.2308 4.2308 3.3604
angles (deg): 90.00 90.00 90.00
With the nearest neighbours (Å) after each atom.
Element x y z (fractional)
Cl1 0.0000 0.0000 0.0000  2 N 1.68
O1 0.0000 0.5000 0.0000  2 Cl 2.12
N1 0.0000 0.0000 0.5000  2 Cl 1.68
Au1 0.5000 0.5000 0.5000  8 O 2.70, 4 N 2.99
O2 0.5000 0.0000 0.0000  2 Cl 2.12

- E_form (uncorrected) (eV/atom) = 1.784
- VASP energy (eV per cell) = -14.45

Copy entry 1 word for word.
Here is a relaxed Ca2Cd8Pb crystal from the Alexandria database. Energies are from PBE.

a b c (Å): 5.5127 6.4431 9.0931
angles (deg): 110.71 107.60 90.11
With the nearest neighbours (Å) after each atom.
Element x y z (fractional)
Cd1 0.7015 0.2015 0.4030  6 Cd 3.21-3.33, 4 Ca 3.23-3.29, 1 Pb 3.24
Ca1 0.6870 0.6870 0.3739  12 Cd 3.23-3.38
Cd2 0.1316 0.9014 0.2621  4 Cd 2.96-3.21, 1 Ca 3.28
Cd3 0.1305 0.3607 0.2621  4 Cd 2.96-3.21, 1 Ca 3.28
Ca2 0.3130 0.3130 0.6261  12 Cd 3.23-3.38
Cd4 0.8684 0.0986 0.7379  4 Cd 2.96-3.21, 1 Ca 3.28
Pb1 0.5000 0.0000 0.0000  6 Cd 3.24-3.52
Cd5 0.2985 0.7985 0.5970  6 Cd 3.21-3.33, 4 Ca 3.23-3.29, 1 Pb 3.24
Cd6 0.2518 0.5032 0.0000  4 Cd 2.74-3.06
Cd7 0.8695 0.6393 0.7379  4 Cd 2.96-3.21, 1 Ca 3.28
Cd8 0.7482 0.4968 0.0000  4 Cd 2.74-3.06

- VASP energy (eV per cell) = -16.67

Question: The lowest VASP energy belongs to which entry?
Answer: Y4Er5Cd